Density functional theory data (PBE) for an optimized crystal structure of Y2Er2Pd.

Lattice parameters (Å, degrees): 7.602 7.053 7.744 73.36 57.91 57.39
Positions (direct):
Er (0.625, 0.000, 0.117)
Er (0.860, 0.000, 0.388)
Er (0.140, 0.000, 0.612)
Er (0.375, 0.000, 0.883)
Pd (0.881, 0.238, 0.000)
Pd (0.119, 0.762, 0.000)
Y (0.559, 0.431, 0.751)
Y (0.441, 0.569, 0.249)
Y (0.010, 0.431, 0.249)
Y (0.990, 0.569, 0.751)

Output
**Space-group type**: No. 12
**Magnetic moment**: 0.00 μB/cell

Density functional theory data (PBE) for an optimized crystal structure of Y2ErPd.

Lattice parameters (Å, degrees): 3.709 3.709 9.825 79.12 79.12 60.00
Positions (direct):
Er (0.501, 0.501, 0.498)
Y (0.267, 0.267, 0.200)
Y (0.066, 0.066, 0.801)
Pd (0.666, 0.666, 0.001)

Output
**Space-group type**: No. 160
**Magnetic moment**: 0.46 μB/cell
**ΔE to the lowest computed polymorph**: 0.191 eV/atom

Density functional theory data (PBE) for an optimized crystal structure of YErPd2.

Lattice parameters (Å, degrees): 3.745 4.521 5.595 90.00 109.63 90.00
Positions (direct):
Y (0.721, 0.000, 0.981)
Pd (0.996, 0.000, 0.531)
Pd (0.168, 0.500, 0.875)
Er (0.446, 0.500, 0.430)

Output
**Space-group type**: No. 6
**Magnetic moment**: 0.00 μB/cell
**ΔE to the lowest computed polymorph**: 0.000 eV/atom

Density functional theory data (PBE) for an optimized crystal structure of Y3ErPd4.

Lattice parameters (Å, degrees): 3.439 5.008 10.017 90.00 90.00 90.00
Positions (direct):
Y (0.500, 0.000, 0.250)
Y (0.500, 0.000, 0.750)
Y (0.500, 0.500, 0.500)
Pd (0.000, 0.500, 0.245)
Pd (0.000, 0.000, 0.500)
Pd (0.000, 0.500, 0.755)
Pd (0.000, 0.000, 0.000)
Er (0.500, 0.500, 0.000)

Output
**Space-group type**: No. 47
**Magnetic moment**: 0.00 μB/cell

Density functional theory data (PBE) for an optimized crystal structure of Y5ErPd2.

Lattice parameters (Å, degrees): 3.785 6.880 18.379 90.00 90.00 105.97
Positions (direct):
Pd (0.293, 0.585, 0.639)
Pd (0.707, 0.415, 0.361)
Pd (0.293, 0.585, 0.861)
Pd (0.707, 0.415, 0.139)
Y (0.452, 0.904, 0.750)
Y (0.946, 0.892, 0.587)
Y (0.548, 0.096, 0.250)
Y (0.671, 0.341, 0.943)
Y (0.946, 0.892, 0.913)
Y (0.329, 0.659, 0.057)
Y (0.671, 0.341, 0.557)
Y (0.054, 0.108, 0.087)
Y (0.329, 0.659, 0.443)
Y (0.054, 0.108, 0.413)
Er (0.275, 0.550, 0.250)
Er (0.725, 0.450, 0.750)

Output
**Space-group type**: No. 63
**Magnetic moment**: 0.00 μB/cell

Density functional theory data (PBE) for an optimized crystal structure of Y2Er3Pd3.

Lattice parameters (Å, degrees): 3.542 5.126 10.928 103.57 99.33 90.00
Positions (direct):
Er (0.500, 0.000, 0.000)
Er (0.615, 0.615, 0.230)
Er (0.385, 0.385, 0.770)
Pd (0.112, 0.112, 0.224)
Pd (0.888, 0.888, 0.776)
Pd (0.000, 0.500, 0.000)
Y (0.275, 0.775, 0.550)
Y (0.725, 0.225, 0.450)

Output
**Space-group type**: No. 71
**Magnetic moment**: 0.00 μB/cell

Density functional theory data (PBE) for an optimized crystal structure of Y2ErPd3.

Lattice parameters (Å, degrees): 3.433 5.002 15.021 90.00 90.00 90.00
Positions (direct):
Pd (0.500, 0.000, 0.500)
Pd (0.500, 0.000, 0.163)
Pd (0.500, 0.500, 0.337)
Pd (0.500, 0.500, 0.663)
Pd (0.500, 0.000, 0.837)
Pd (0.500, 0.500, 0.000)
Y (0.000, 0.500, 0.167)
Y (0.000, 0.000, 0.667)
Y (0.000, 0.500, 0.833)
Y (0.000, 0.000, 0.333)
Er (0.000, 0.500, 0.500)
Er (0.000, 0.000, 0.000)

Output
**Space-group type**: No. 65
**Magnetic moment**: 0.00 μB/cell

Density functional theory data (PBE) for an optimized crystal structure of YEr2Pd.

Lattice parameters (Å, degrees): 6.436 7.008 9.601 90.00 90.00 90.00
Positions (direct):
Y (0.129, 0.980, 0.750)
Y (0.629, 0.520, 0.250)
Y (0.371, 0.480, 0.750)
Y (0.871, 0.020, 0.250)
Er (0.824, 0.319, 0.941)
Er (0.676, 0.819, 0.559)
Er (0.676, 0.819, 0.941)
Er (0.324, 0.181, 0.059)
Er (0.176, 0.681, 0.441)
Er (0.824, 0.319, 0.559)
Er (0.324, 0.181, 0.441)
Er (0.176, 0.681, 0.059)
Pd (0.938, 0.609, 0.750)
Pd (0.438, 0.891, 0.250)
Pd (0.562, 0.109, 0.750)
Pd (0.062, 0.391, 0.250)

Output
**Space-group type**: No. 62
**Magnetic moment**: 0.00 μB/cell
**ΔE to the lowest computed polymorph**: 0.000 eV/atom

Which energy of formation belongs to each record? In order, -0.2664 -0.2841 -0.9217 -0.8894 -0.3713 -0.6435 -0.8936 -0.4872 eV per atom.
Which V belongs to each record? In order, 29.63 28.56 22.31 21.57 28.76 23.77 21.50 27.07 Å³ per atom.